DFT (PBE) results for a relaxed Co3SiAg crystal.

Lattice parameters (Å, degrees): 4.603 4.603 4.603 90.00 90.00 90.00
Fractional coordinates of all 5 atoms:
Si: 0.500 0.500 0.500
Co: 0.000 0.500 0.000
Co: 0.000 0.000 0.500
Co: 0.500 0.000 0.000
Ag: 0.000 0.000 0.000

Summary:
Space-group type: Pm-3m (221)
Formation energy from raw total energies in eV per atom: 1.815
E in hartree per atom: -0.1508

=====

DFT (PBE) results for a relaxed Co3SiAg crystal.

Lattice parameters (Å, degrees): 4.215 4.215 4.215 90.00 90.00 90.00
Fractional coordinates of all 5 atoms:
Si: 0.000 0.000 0.000
Co: 0.000 0.500 0.000
Co: 0.000 0.000 0.500
Co: 0.500 0.000 0.000
Ag: 0.500 0.500 0.500

Summary:
Space-group type: Pm-3m (221)
Formation energy from raw total energies in eV per atom: 0.602
E in hartree per atom: -0.1954

=====

DFT (PBE) results for a relaxed CoSi2Ag2 crystal.

Lattice parameters (Å, degrees): 5.955 5.955 4.305 90.00 90.00 90.00
Fractional coordinates of all 10 atoms:
Si: 0.359 0.859 0.000
Si: 0.859 0.641 0.000
Si: 0.641 0.141 0.000
Si: 0.141 0.359 0.000
Co: 0.000 0.000 0.000
Co: 0.500 0.500 0.000
Ag: 0.186 0.686 0.500
Ag: 0.686 0.814 0.500
Ag: 0.814 0.314 0.500
Ag: 0.314 0.186 0.500

Summary:
Space-group type: P4/mbm (127)
Formation energy from raw total energies in eV per atom: 0.120
E in hartree per atom: -0.1694

=====

DFT (PBE) results for a relaxed Ta2CoSiAg crystal.

Lattice parameters (Å, degrees): 4.693 4.100 4.693 90.00 90.00 90.00
Fractional coordinates of all 5 atoms:
Si: 0.000 0.000 0.000
Co: 0.000 0.500 0.000
Ag: 0.500 0.500 0.500
Ta: 0.000 0.000 0.500
Ta: 0.500 0.000 0.000

Summary:
Space-group type: P4/mmm (123)
Formation energy from raw total energies in eV per atom: 0.765
E in hartree per atom: -0.2592

=====

DFT (PBE) results for a relaxed Co2SiAgTe crystal.

Lattice parameters (Å, degrees): 4.634 5.313 4.634 90.00 90.00 90.00
Fractional coordinates of all 5 atoms:
Si: 0.000 0.500 0.000
Te: 0.000 0.000 0.000
Co: 0.000 0.000 0.500
Co: 0.500 0.000 0.000
Ag: 0.500 0.500 0.500

Summary:
Space-group type: P4/mmm (123)
Formation energy from raw total energies in eV per atom: 1.242
E in hartree per atom: -0.1427

=====

DFT (PBE) results for a relaxed ZnCoSiAg2 crystal.

Lattice parameters (Å, degrees): 4.763 4.494 4.763 90.00 90.00 90.00
Fractional coordinates of all 5 atoms:
Zn: 0.000 0.500 0.000
Co: 0.500 0.500 0.500
Si: 0.000 0.000 0.000
Ag: 0.000 0.000 0.500
Ag: 0.500 0.000 0.000

Summary:
Space-group type: P4/mmm (123)
Formation energy from raw total energies in eV per atom: 0.890
E in hartree per atom: -0.1106

=====

Please write out number 6 again, unchanged.
DFT (PBE) results for a relaxed ZnCoSiAg2 crystal.

Lattice parameters (Å, degrees): 4.763 4.494 4.763 90.00 90.00 90.00
Fractional coordinates of all 5 atoms:
Zn: 0.000 0.500 0.000
Co: 0.500 0.500 0.500
Si: 0.000 0.000 0.000
Ag: 0.000 0.000 0.500
Ag: 0.500 0.000 0.000

Summary:
Space-group type: P4/mmm (123)
Formation energy from raw total energies in eV per atom: 0.890
E in hartree per atom: -0.1106